First-principles (GGA+U) data for a relaxed structure of Sm3WCl3O6, as listed in Alexandria via LeMat-Bulk.

## Properties
Uncorrected energy, eV/f.u.: -92.38
Size of the total moment, μB per formula unit: 0.000
SG: No. 176

a = 9.285 Å, b = 9.285 Å, c = 5.362 Å
α = 90.00°, β = 90.00°, γ = 120.00°
Fractional coordinates of all 26 atoms:
O (0.842, 0.477, 0.985)
O (0.842, 0.477, 0.515)
O (0.635, 0.158, 0.515)
O (0.477, 0.635, 0.015)
Cl (0.241, 0.049, 0.750)
O (0.365, 0.842, 0.485)
O (0.523, 0.365, 0.515)
O (0.477, 0.635, 0.485)
O (0.635, 0.158, 0.985)
Sm (0.595, 0.910, 0.750)
Sm (0.090, 0.685, 0.750)
Cl (0.049, 0.808, 0.250)
O (0.523, 0.365, 0.985)
Sm (0.315, 0.405, 0.750)
W (0.333, 0.667, 0.250)
O (0.158, 0.523, 0.015)
W (0.667, 0.333, 0.750)
Sm (0.405, 0.090, 0.250)
Cl (0.192, 0.241, 0.250)
O (0.158, 0.523, 0.485)
Sm (0.685, 0.595, 0.250)
O (0.365, 0.842, 0.015)
Sm (0.910, 0.315, 0.250)
Cl (0.951, 0.192, 0.750)
Cl (0.808, 0.759, 0.750)
Cl (0.759, 0.951, 0.250)